# GGA+U CoHgSO, relaxed
data_CoHgSO
_cell_length_a 6.503
_cell_length_b 6.331
_cell_length_c 6.716
_cell_angle_alpha 90.00
_cell_angle_beta 90.90
_cell_angle_gamma 90.00
_symmetry_space_group_name_H-M 'P 1'
_symmetry_Int_Tables_number 1
loop_
_symmetry_equiv_pos_as_xyz
'x,y,z'
loop_
_atom_site_label
_atom_site_type_symbol
_atom_site_fract_x
_atom_site_fract_y
_atom_site_fract_z
Co1 Co 0.008 0.153 0.167
Co2 Co 0.008 0.347 0.667
Co3 Co 0.992 0.653 0.333
Co4 Co 0.992 0.847 0.833
Hg1 Hg 0.435 0.724 0.568
Hg2 Hg 0.435 0.776 0.068
Hg3 Hg 0.565 0.224 0.932
Hg4 Hg 0.565 0.276 0.432
S1 S 0.296 0.121 0.662
S2 S 0.296 0.379 0.162
S3 S 0.704 0.621 0.838
S4 S 0.704 0.879 0.338
O1 O 0.103 0.649 0.621
O2 O 0.103 0.851 0.121
O3 O 0.897 0.149 0.879
O4 O 0.897 0.351 0.379
# excess energy over the best structure of this formula in the dataset = 0.369 eV per formula unit
# E = -63.403 eV/cell
# symmetry = No. 14
# total moment = 12.00 μB/cell

***

# GGA+U CoHgSO, relaxed
data_CoHgSO
_cell_length_a 3.548
_cell_length_b 3.548
_cell_length_c 12.397
_cell_angle_alpha 90.00
_cell_angle_beta 90.00
_cell_angle_gamma 122.66
_symmetry_space_group_name_H-M 'P 1'
_symmetry_Int_Tables_number 1
loop_
_symmetry_equiv_pos_as_xyz
'x,y,z'
loop_
_atom_site_label
_atom_site_type_symbol
_atom_site_fract_x
_atom_site_fract_y
_atom_site_fract_z
Co1 Co 0.202 0.798 0.500
Co2 Co 0.798 0.202 0.000
Hg1 Hg 0.414 0.586 0.727
Hg2 Hg 0.586 0.414 0.227
S1 S 0.176 0.824 0.878
S2 S 0.824 0.176 0.378
O1 O 0.466 0.534 0.068
O2 O 0.534 0.466 0.568
# excess energy over the best structure of this formula in the dataset = 0.684 eV per formula unit
# E = -31.071 eV/cell
# symmetry = No. 36
# total moment = 6.00 μB/cell

***

# GGA+U CoHgSO, relaxed
data_CoHgSO
_cell_length_a 3.773
_cell_length_b 3.773
_cell_length_c 9.456
_cell_angle_alpha 90.00
_cell_angle_beta 90.00
_cell_angle_gamma 90.00
_symmetry_space_group_name_H-M 'P 1'
_symmetry_Int_Tables_number 1
loop_
_symmetry_equiv_pos_as_xyz
'x,y,z'
loop_
_atom_site_label
_atom_site_type_symbol
_atom_site_fract_x
_atom_site_fract_y
_atom_site_fract_z
Co1 Co 0.250 0.250 0.129
Co2 Co 0.750 0.750 0.871
Hg1 Hg 0.250 0.250 0.625
Hg2 Hg 0.750 0.750 0.375
S1 S 0.250 0.250 0.880
S2 S 0.750 0.750 0.120
O1 O 0.250 0.750 0.500
O2 O 0.750 0.250 0.500
# excess energy over the best structure of this formula in the dataset = 2.749 eV per formula unit
# E = -26.941 eV/cell
# symmetry = No. 129
# total moment = 5.66 μB/cell

***

# GGA+U CoHgSO, relaxed
data_CoHgSO
_cell_length_a 4.100
_cell_length_b 4.100
_cell_length_c 8.683
_cell_angle_alpha 90.00
_cell_angle_beta 90.00
_cell_angle_gamma 90.00
_symmetry_space_group_name_H-M 'P 1'
_symmetry_Int_Tables_number 1
loop_
_symmetry_equiv_pos_as_xyz
'x,y,z'
loop_
_atom_site_label
_atom_site_type_symbol
_atom_site_fract_x
_atom_site_fract_y
_atom_site_fract_z
Co1 Co 0.250 0.250 0.021
Co2 Co 0.750 0.750 0.979
Hg1 Hg 0.250 0.750 0.500
Hg2 Hg 0.750 0.250 0.500
S1 S 0.250 0.250 0.298
S2 S 0.750 0.750 0.702
O1 O 0.250 0.750 0.000
O2 O 0.750 0.250 0.000
# excess energy over the best structure of this formula in the dataset = 1.373 eV per formula unit
# E = -29.694 eV/cell
# symmetry = No. 129
# total moment = 5.22 μB/cell